[1]
Tc2TeCl: relaxed, PBE.

a b c (Å): 4.2317 4.0218 5.2100
angles (deg): 90.00 93.85 90.00
Closest atoms and distances in Å follow each position.
Fractional coordinates of all 4 atoms:
Tc: 0.1843 0.0000 0.3622  1 Tc 2.19
Tc: 0.8157 0.0000 0.6378  1 Tc 2.19
Te: 0.0000 0.5000 0.0000  4 Tc 2.83
Cl: 0.5000 0.5000 0.5000  4 Tc 2.49

Computed properties:
formation energy without anion corrections: 0.547 eV per atom
symmetry: P2/m (10)
magnetization: 0.00 μB/f.u.

[2]
CoAs2BrN: relaxed, PBE.

a b c (Å): 4.3599 4.3599 4.3672
angles (deg): 90.00 90.00 90.00
Closest atoms and distances in Å follow each position.
Fractional coordinates of all 5 atoms:
Co: 0.0000 0.0000 0.0000  4 Br 3.08, 8 As 3.09
As: 0.0000 0.5000 0.5000  2 N 2.18
As: 0.5000 0.0000 0.5000  2 N 2.18
Br: 0.5000 0.5000 0.0000  2 N 2.18
N: 0.5000 0.5000 0.5000  4 As 2.18, 2 Br 2.18

Computed properties:
formation energy without anion corrections: 1.227 eV per atom
symmetry: P4/mmm (123)
magnetization: 1.47 μB/f.u.

[3]
La12Pr5Tm2: relaxed, PBE.

a b c (Å): 5.2514 11.1200 13.3120
angles (deg): 65.36 89.94 76.35
Closest atoms and distances in Å follow each position.
Fractional coordinates of all 19 atoms:
La: 0.0534 0.3932 0.4204  2 Pr 3.67-3.69, 8 La 3.69-3.74, 2 Tm 3.70
La: 0.1039 0.2908 0.8431  2 Pr 3.68-3.72, 8 La 3.68-3.72, 2 Tm 3.70
La: 0.2633 0.9741 0.1042  9 La 3.68-3.74, 3 Pr 3.71-3.72
La: 0.3169 0.8666 0.5285  1 Tm 3.67, 5 La 3.69-3.75, 6 Pr 3.69-3.75
La: 0.3702 0.7591 0.9486  2 Tm 3.66-3.67, 5 Pr 3.68-3.73, 5 La 3.68-3.74
La: 0.4221 0.6544 0.3675  1 Tm 3.67, 9 La 3.67-3.75, 2 Pr 3.73-3.74
La: 0.5779 0.3456 0.6325  1 Tm 3.67, 9 La 3.67-3.75, 2 Pr 3.73-3.74
La: 0.6298 0.2409 0.0514  2 Tm 3.66-3.67, 5 Pr 3.68-3.73, 5 La 3.68-3.74
La: 0.6831 0.1334 0.4715  1 Tm 3.67, 5 La 3.69-3.75, 6 Pr 3.69-3.75
La: 0.7367 0.0259 0.8958  9 La 3.68-3.74, 3 Pr 3.71-3.72
La: 0.8961 0.7092 0.1569  2 Pr 3.68-3.72, 8 La 3.68-3.72, 2 Tm 3.70
La: 0.9466 0.6068 0.5796  2 Pr 3.67-3.69, 8 La 3.69-3.74, 2 Tm 3.70
Pr: 0.0000 0.5000 0.0000  2 Pr 3.67, 6 La 3.68, 4 Tm 3.69-3.70
Pr: 0.1558 0.1876 0.2616  7 La 3.67-3.75, 3 Pr 3.67-3.74, 2 Tm 3.68-3.69
Pr: 0.2104 0.0792 0.6839  10 La 3.69-3.74, 2 Pr 3.73-3.74
Pr: 0.7896 0.9208 0.3161  10 La 3.69-3.74, 2 Pr 3.73-3.74
Pr: 0.8442 0.8124 0.7384  7 La 3.67-3.75, 3 Pr 3.67-3.74, 2 Tm 3.68-3.69
Tm: 0.4733 0.5529 0.7901  8 La 3.66-3.70, 4 Pr 3.68-3.70
Tm: 0.5267 0.4471 0.2099  8 La 3.66-3.70, 4 Pr 3.68-3.70

Computed properties:
symmetry: P-1 (2)
magnetization: 0.00 μB/f.u.
formation enthalpy at 0 K: 0.013 eV/atom

[4]
KYAu2: relaxed, PBE.

a b c (Å): 3.5052 5.3676 5.3674
angles (deg): 90.00 90.00 90.00
Closest atoms and distances in Å follow each position.
Fractional coordinates of all 4 atoms:
K: 0.0000 0.0000 0.0000  8 Au 3.20-3.21, 2 K 3.51
Y: 0.0000 0.5000 0.5007  8 Au 3.20-3.21, 2 Y 3.51
Au: 0.5000 0.0000 0.4999  4 K 3.20-3.21, 4 Y 3.21, 2 Au 3.51
Au: 0.5000 0.5000 0.0011  4 Y 3.20-3.21, 4 K 3.21, 2 Au 3.51

Computed properties:
symmetry: Pmm2 (25)
magnetization: 0.00 μB/f.u.
formation enthalpy at 0 K: -0.421 eV/atom